Entry from the Open Quantum Materials Database: a geometry-optimized TmAgPd structure (PBE).

Calculated values
Final energy, eV/atom: -4.321
Energy of formation from the pure elements, eV/atom: -0.16
Distance to the lowest polymorph of the same formula, eV per atom: 0.327
Crystal system: cubic
M_tot, μB per formula unit: 0.0

a b c (Å): 4.6310 4.6310 4.6310
angles (deg): 60.00 60.00 60.00
With the nearest neighbours (Å) after each atom.
Element x y z (fractional)
Tm (0.0000, 0.0000, 0.0000)  4 Pd 2.84, 4 Ag 2.84
Ag (0.7500, 0.7500, 0.7500)  4 Tm 2.84
Pd (0.2500, 0.2500, 0.2500)  4 Tm 2.84

Entry from the Open Quantum Materials Database: a geometry-optimized TmAgPd structure (PBE).

Calculated values
Final energy, eV/atom: -4.648
Energy of formation from the pure elements, eV/atom: -0.49
Distance to the lowest polymorph of the same formula, eV per atom: 0.000
Crystal system: cubic
M_tot, μB per formula unit: 0.0

a b c (Å): 4.5795 4.5795 4.5795
angles (deg): 60.00 60.00 60.00
With the nearest neighbours (Å) after each atom.
Element x y z (fractional)
Tm (0.0000, 0.0000, 0.0000)  4 Pd 2.80
Ag (0.5000, 0.5000, 0.5000)  4 Pd 2.80
Pd (0.7500, 0.7500, 0.7500)  4 Tm 2.80, 4 Ag 2.80

Entry from the Open Quantum Materials Database: a geometry-optimized AgPdW2 structure (PBE).

Calculated values
Final energy, eV/atom: -7.935
Energy of formation from the pure elements, eV/atom: 0.54
Crystal system: cubic
M_tot, μB per formula unit: 0.0

a b c (Å): 4.5121 4.5121 4.5121
angles (deg): 60.00 60.00 60.00
With the nearest neighbours (Å) after each atom.
Element x y z (fractional)
Ag (0.0000, 0.0000, 0.0000)  4 W 2.76, 4 Pd 2.76
Pd (0.7500, 0.7500, 0.7500)  4 W 2.76, 4 Ag 2.76
W (0.2500, 0.2500, 0.2500)  4 W 2.76, 4 Ag 2.76
W (0.5000, 0.5000, 0.5000)  4 W 2.76, 4 Pd 2.76

Entry from the Open Quantum Materials Database: a geometry-optimized YAgPd structure (PBE).

Calculated values
Final energy, eV/atom: -4.939
Energy of formation from the pure elements, eV/atom: -0.12
Distance to the lowest polymorph of the same formula, eV per atom: 0.359
Crystal system: cubic
M_tot, μB per formula unit: 0.0

a b c (Å): 4.6993 4.6993 4.6993
angles (deg): 60.00 60.00 60.00
With the nearest neighbours (Å) after each atom.
Element x y z (fractional)
Y (0.0000, 0.0000, 0.0000)  4 Pd 2.88, 4 Ag 2.88
Ag (0.2500, 0.2500, 0.2500)  4 Y 2.88
Pd (0.7500, 0.7500, 0.7500)  4 Y 2.88

Copy entry 1 word for word.
Entry from the Open Quantum Materials Database: a geometry-optimized TmAgPd structure (PBE).

Calculated values
Final energy, eV/atom: -4.321
Energy of formation from the pure elements, eV/atom: -0.16
Distance to the lowest polymorph of the same formula, eV per atom: 0.327
Crystal system: cubic
M_tot, μB per formula unit: 0.0

a b c (Å): 4.6310 4.6310 4.6310
angles (deg): 60.00 60.00 60.00
With the nearest neighbours (Å) after each atom.
Element x y z (fractional)
Tm (0.0000, 0.0000, 0.0000)  4 Pd 2.84, 4 Ag 2.84
Ag (0.7500, 0.7500, 0.7500)  4 Tm 2.84
Pd (0.2500, 0.2500, 0.2500)  4 Tm 2.84

What is the formula in the first record?
TmAgPd

The lowest final energy belongs to which entry?
AgPdW2